Entry 1:
Below is crystalline LiBeCdAg at its relaxed geometry, with properties calculated at the PBE level.

The space group is F-43m (No. 216) and the conventional cell measures 6.180, 6.180 and 6.180 Å, with angles of 90.00, 90.00 and 90.00 degrees. The inequivalent atoms are Li at (0.000, 0.000, 0.000), Be at (0.000, 0.000, 0.500), Cd at (0.250, 0.250, 0.250) and Ag at (0.250, 0.250, 0.750).

The value obtained for the formation energy is 0.0065 eV per atom. The value obtained for the total energy is -2.345 eV/atom.

Entry 2:
Below is crystalline TbNd4Dy2Ho at its relaxed geometry, with properties calculated at the PBE level.

The space group is P2/m (No. 10) and the conventional cell measures 5.117, 5.144 and 10.109 Å, with angles of 90.00, 90.04 and 90.00 degrees. The inequivalent atoms are Tb at (0.000, 0.000, 0.000), Nd at (0.000, 0.500, 0.251), Nd at (0.500, 0.000, 0.251), Dy at (0.000, 0.000, 0.500), Dy at (0.500, 0.500, 0.000) and Ho at (0.500, 0.500, 0.500).

The value obtained for the formation energy is 0.0155 eV per atom. The value obtained for the total energy is -4.670 eV/atom.